A plane-wave DFT calculation with GGA-PBEsol was carried out for a relaxed Sc2GaAuSe crystal.

It has space group P4/mmm (No. 123), with a = 4.9107 Å, b = 4.9107 Å, c = 4.8208 Å, α = 90.00°, β = 90.00° and γ = 90.00°. The asymmetric unit holds Sc at (0.0000, 0.5000, 0.0000), Ga at (0.0000, 0.0000, 0.5000), Au at (0.5000, 0.5000, 0.5000) and Se at (0.5000, 0.5000, 0.0000).

Its magnetization is 0.00 μB per cell. The formation energy from raw total energies comes out at -0.217 eV/atom.

***

A plane-wave DFT calculation with GGA-PBEsol was carried out for a relaxed GaAuSe2 crystal.

It has space group R-3m (No. 166, hexagonal axes), with a = 4.1080 Å, b = 4.1080 Å, c = 21.5475 Å, α = 90.00°, β = 90.00° and γ = 120.00°. The asymmetric unit holds Ga at (0.0000, 0.0000, 0.0000), Au at (0.0000, 0.0000, 0.5000) and Se at (0.0000, 0.0000, 0.1062).

Its magnetization is 0.00 μB per cell. The formation energy from raw total energies comes out at 0.199 eV/atom.

***

A plane-wave DFT calculation with GGA-PBEsol was carried out for a relaxed GaTcAuSe2 crystal.

It has space group P4/mmm (No. 123), with a = 5.1198 Å, b = 5.1198 Å, c = 4.6850 Å, α = 90.00°, β = 90.00° and γ = 90.00°. The asymmetric unit holds Ga at (0.0000, 0.0000, 0.0000), Tc at (0.5000, 0.5000, 0.0000), Au at (0.0000, 0.0000, 0.5000) and Se at (0.0000, 0.5000, 0.5000).

Its magnetization is 4.42 μB per cell. The formation energy from raw total energies comes out at 1.126 eV/atom.

***

A plane-wave DFT calculation with GGA-PBEsol was carried out for a relaxed GaSi2Au2 crystal.

It has space group I4/mmm (No. 139), with a = 3.7781 Å, b = 3.7781 Å, c = 12.3335 Å, α = 90.00°, β = 90.00° and γ = 90.00°. The asymmetric unit holds Ga at (0.0000, 0.0000, 0.0000), Si at (0.0000, 0.5000, 0.2500) and Au at (0.0000, 0.0000, 0.3910).

Its magnetization is 0.00 μB per cell. The formation energy from raw total energies comes out at 0.123 eV/atom.

***

| no. | V (Å³/atom) |
| --- | --- |
| 1 | 23.3 |
| 2 | 26.2 |
| 3 | 24.6 |
| 4 | 17.6 |